Here is crystalline TlPb2Au3 at its relaxed geometry from the Alexandria database. Energies are from PBE.

a b c (Å): 5.2411 7.9397 8.7968
angles (deg): 116.83 90.00 90.00
Fractional positions:
Au 0.2500 0.3907 0.6475
Tl 0.7500 0.3460 0.0000
Pb 0.2500 0.3492 0.3086
Au 0.7500 0.6093 0.3525
Au 0.0000 0.0000 0.0000
Au 0.7500 0.2568 0.6475
Au 0.2500 0.7432 0.3525
Pb 0.7500 0.9594 0.3086
Pb 0.2500 0.0406 0.6914
Tl 0.2500 0.6540 0.0000
Pb 0.7500 0.6508 0.6914
Au 0.5000 0.0000 0.0000

## Properties
DFT total energy	-39.24	eV/cell
symmetry	Cmcm